No. 1
This record from Alexandria describes Th2MgAl4Pt3 after structural relaxation. The functional is PBE.

```
Th2MgAl4Pt3
1.0
4.2761 0.0000 0.0000
0.0000 4.2761 0.0000
0.0000 0.0000 10.8330
Th Mg Al Pt
2 1 4 3
Direct
0.0000 0.5000 0.2416 Th
0.5000 0.0000 0.7584 Th
0.0000 0.0000 0.5000 Mg
0.0000 0.0000 0.0000 Al
0.0000 0.5000 0.6429 Al
0.5000 0.0000 0.3571 Al
0.5000 0.5000 0.0000 Al
0.0000 0.5000 0.8708 Pt
0.5000 0.0000 0.1292 Pt
0.5000 0.5000 0.5000 Pt
```

## Properties
Mass density ... 9.9 g cm⁻³
Raw total energy ... -5.88 eV/atom
Space group ... P-4m2, No. 115
D(E_F) ... 7.48 states/eV/f.u.



No. 2
This record from Alexandria describes Tm2MgAl4Pt3 after structural relaxation. The functional is PBE.

```
Tm2MgAl4Pt3
1.0
4.0728 0.0000 0.0000
0.0000 4.0728 0.0000
0.0000 0.0000 11.3308
Tm Mg Al Pt
2 1 4 3
Direct
0.0000 0.5000 0.2367 Tm
0.5000 0.0000 0.7633 Tm
0.0000 0.0000 0.5000 Mg
0.0000 0.0000 0.0000 Al
0.0000 0.5000 0.6477 Al
0.5000 0.0000 0.3523 Al
0.5000 0.5000 0.0000 Al
0.0000 0.5000 0.8648 Pt
0.5000 0.0000 0.1352 Pt
0.5000 0.5000 0.5000 Pt
```

## Properties
Mass density ... 9.3 g cm⁻³
Raw total energy ... -5.28 eV/atom
Space group ... P-4m2, No. 115
D(E_F) ... 4.22 states/eV/f.u.



No. 3
This record from Alexandria describes TmMgAlPt after structural relaxation. The functional is PBE.

```
TmMgAlPt
1.0
6.7403 0.0000 0.0000
0.0000 6.7403 0.0000
0.0000 0.0000 6.7403
Tm Mg Al Pt
4 4 4 4
Direct
0.0000 0.0000 0.0000 Tm
0.0000 0.5000 0.5000 Tm
0.5000 0.0000 0.5000 Tm
0.5000 0.5000 0.0000 Tm
0.0000 0.0000 0.5000 Mg
0.0000 0.5000 0.0000 Mg
0.5000 0.0000 0.0000 Mg
0.5000 0.5000 0.5000 Mg
0.2500 0.2500 0.2500 Al
0.2500 0.7500 0.7500 Al
0.7500 0.2500 0.7500 Al
0.7500 0.7500 0.2500 Al
0.2500 0.2500 0.7500 Pt
0.2500 0.7500 0.2500 Pt
0.7500 0.2500 0.2500 Pt
0.7500 0.7500 0.7500 Pt
```

## Properties
Mass density ... 9.0 g cm⁻³
Raw total energy ... -4.64 eV/atom
Space group ... F-43m, No. 216
D(E_F) ... 1.29 states/eV/f.u.



No. 4
This record from Alexandria describes TmMgAl2Pt4 after structural relaxation. The functional is PBE.

```
TmMgAl2Pt4
1.0
2.1714 1.2537 8.2777
-2.1714 1.2537 8.2777
0.0000 -2.5074 8.2777
Tm Mg Al Pt
1 1 2 4
Direct
0.0000 0.0000 0.0000 Tm
0.5000 0.5000 0.5000 Mg
0.2425 0.2425 0.2425 Al
0.7575 0.7575 0.7575 Al
0.1291 0.1291 0.1291 Pt
0.3965 0.3965 0.3965 Pt
0.6035 0.6035 0.6035 Pt
0.8709 0.8709 0.8709 Pt
```

## Properties
Mass density ... 12.6 g cm⁻³
Raw total energy ... -5.75 eV/atom
Space group ... R-3m, No. 166
D(E_F) ... 2.74 states/eV/f.u.